Entry 1:
Compound: NaCl
Source: Alexandria
Functional: SCAN
Structure: PBEsol geometry

Properties
energy relative to the elements, uncorrected	-2.04	eV/atom
DFT total energy	-0.5981	Ry/atom
spin magnetization	0.00	μB/f.u.

Cell lengths 3.957, 3.957, 3.957 Å; angles 60.00, 60.00, 60.00 degrees
Fractional coordinates of all 2 atoms:
Na: 0.000 0.000 0.000
Cl: 0.500 0.500 0.500

***

Entry 2:
Compound: SiBi3Te
Source: Alexandria
Functional: SCAN
Structure: PBEsol geometry

Properties
energy relative to the elements, uncorrected	1.27	eV/atom
DFT total energy	-4.0666	Ry/atom
spin magnetization	0.00	μB/f.u.

Cell lengths 5.735, 5.735, 5.735 Å; angles 90.00, 90.00, 90.00 degrees
Fractional coordinates of all 5 atoms:
Bi: 0.000 0.500 0.000
Bi: 0.000 0.000 0.500
Bi: 0.500 0.000 0.000
Te: 0.000 0.000 0.000
Si: 0.500 0.500 0.500

***

Entry 3:
Compound: Co2Tc
Source: Alexandria
Functional: SCAN
Structure: PBEsol geometry

Properties
polymorph energy (0 for the lowest one)	2.1	kJ per mole of atoms
DFT total energy	-1.6953	Ry/atom
E_form	0.157	eV per atom
spin magnetization	2.02	μB/f.u.

Cell lengths 4.026, 4.365, 7.628 Å; angles 90.00, 90.00, 90.00 degrees
Fractional coordinates of all 12 atoms:
Co: 0.250 0.678 0.334
Co: 0.250 0.167 0.498
Co: 0.250 0.178 0.166
Co: 0.750 0.322 0.666
Co: 0.750 0.822 0.834
Co: 0.250 0.667 0.002
Co: 0.750 0.333 0.998
Co: 0.750 0.833 0.502
Tc: 0.750 0.832 0.158
Tc: 0.250 0.668 0.658
Tc: 0.750 0.332 0.342
Tc: 0.250 0.168 0.842

***

Entry 4:
Compound: Cd2Se
Source: Alexandria
Functional: SCAN
Structure: PBEsol geometry

Properties
energy relative to the elements, uncorrected	-0.31	eV/atom
polymorph energy (0 for the lowest one)	0.0	kJ per mole of atoms
DFT total energy	-2.0051	Ry/atom
spin magnetization	0.00	μB/f.u.

Cell lengths 3.874, 3.874, 5.321 Å; angles 90.00, 90.00, 120.00 degrees
Fractional coordinates of all 3 atoms:
Cd: 0.667 0.333 0.686
Cd: 0.333 0.667 0.314
Se: 0.000 0.000 0.000

***

Entry 5:
Compound: KCd2Rh
Source: Alexandria
Functional: SCAN
Structure: PBEsol geometry

Properties
polymorph energy (0 for the lowest one)	24.8	kJ per mole of atoms
DFT total energy	-1.8690	Ry/atom
E_form	0.303	eV per atom
spin magnetization	0.00	μB/f.u.

Cell lengths 3.183, 5.031, 5.031 Å; angles 90.00, 90.00, 90.00 degrees
Fractional coordinates of all 4 atoms:
Cd: 0.000 0.500 0.000
Cd: 0.000 0.000 0.500
Rh: 0.500 0.000 0.000
K: 0.500 0.500 0.500

***

Entry 6:
Compound: Te2MoO
Source: Alexandria
Functional: SCAN
Structure: PBEsol geometry

Properties
energy relative to the elements, uncorrected	0.75	eV/atom
DFT total energy	-2.0694	Ry/atom
spin magnetization	0.00	μB/f.u.

Cell lengths 3.027, 3.027, 9.302 Å; angles 80.64, 80.64, 60.00 degrees
Fractional coordinates of all 4 atoms:
Mo: 0.000 0.000 0.000
Te: 0.100 0.100 0.699
Te: 0.900 0.900 0.301
O: 0.500 0.500 0.500

***

Entry 7:
Compound: Li2TlHg
Source: Alexandria
Functional: SCAN
Structure: PBEsol geometry

Properties
DFT total energy	-2.6936	Ry/atom
E_form	-0.323	eV per atom
spin magnetization	0.00	μB/f.u.

Cell lengths 3.562, 3.562, 6.146 Å; angles 90.00, 90.00, 90.00 degrees
Fractional coordinates of all 4 atoms:
Hg: 0.500 0.500 0.795
Li: 0.000 0.000 0.983
Li: 0.500 0.500 0.247
Tl: 0.000 0.000 0.475

***

Entry 8:
Compound: DySn3
Source: Alexandria
Functional: SCAN
Structure: PBEsol geometry

Properties
DFT total energy	-2.8880	Ry/atom
E_form	-0.403	eV per atom
spin magnetization	0.00	μB/f.u.

Cell lengths 4.364, 4.340, 11.084 Å; angles 90.00, 101.35, 90.00 degrees
Fractional coordinates of all 8 atoms:
Sn: 0.976 0.000 0.951
Sn: 0.869 0.500 0.737
Sn: 0.359 0.000 0.717
Sn: 0.734 0.500 0.469
Sn: 0.598 0.000 0.196
Sn: 0.099 0.500 0.197
Dy: 0.482 0.500 0.965
Dy: 0.209 0.000 0.419

***

Entry 9:
Compound: InReAg2
Source: Alexandria
Functional: SCAN
Structure: PBEsol geometry

Properties
DFT total energy	-3.0387	Ry/atom
E_form	0.460	eV per atom
spin magnetization	0.00	μB/f.u.

Cell lengths 2.774, 2.774, 9.163 Å; angles 90.00, 90.00, 106.56 degrees
Fractional coordinates of all 4 atoms:
Ag: 0.500 0.500 0.756
Ag: 0.000 0.000 0.002
In: 0.000 0.000 0.496
Re: 0.500 0.500 0.246

***

Entry 10:
Compound: Be2TcHg
Source: Alexandria
Functional: SCAN
Structure: PBEsol geometry

Properties
DFT total energy	-2.0406	Ry/atom
E_form	0.219	eV per atom
spin magnetization	0.00	μB/f.u.

Cell lengths 3.420, 3.420, 4.946 Å; angles 110.22, 110.22, 90.00 degrees
Fractional coordinates of all 4 atoms:
Be: 0.000 0.000 0.000
Be: 0.750 0.250 0.500
Hg: 0.500 0.500 0.000
Tc: 0.250 0.750 0.500

***

Entry 11:
Compound: In2FeOs
Source: Alexandria
Functional: SCAN
Structure: PBEsol geometry

Properties
DFT total energy	-2.8442	Ry/atom
E_form	0.498	eV per atom
spin magnetization	2.76	μB/f.u.

Cell lengths 2.959, 2.959, 8.824 Å; angles 80.35, 80.35, 60.00 degrees
Fractional coordinates of all 4 atoms:
Fe: 0.000 0.000 0.000
Os: 0.500 0.500 0.500
In: 0.748 0.748 0.755
In: 0.252 0.252 0.245

***

Entry 12:
Compound: BeP2W
Source: Alexandria
Functional: SCAN
Structure: PBEsol geometry

Properties
DFT total energy	-1.7364	Ry/atom
E_form	0.085	eV per atom
spin magnetization	0.00	μB/f.u.

Cell lengths 3.210, 4.331, 4.422 Å; angles 119.32, 111.28, 90.00 degrees
Fractional coordinates of all 4 atoms:
P: 0.288 0.288 0.575
P: 0.712 0.712 0.425
W: 0.500 0.000 0.000
Be: 0.000 0.500 0.000